Run A
CsNiGe3 after structural relaxation. Source: Alexandria via LeMat-Bulk, functional PBE.

Properties
The calculation puts the volume at 23.744 Å³ per atom. As for the spin magnetization: 0.0 μB/f.u. The density of states at the Fermi level comes out at 7.38 states/eV per cell. Its space group is Pm-3m, No. 221.

Cell lengths 4.915, 4.915, 4.915 Å; angles 90.00, 90.00, 90.00 degrees
Fractional positions:
Cs1 0.000 0.000 0.000
Ni1 0.500 0.500 0.500
Ge1 0.000 0.500 0.500
Ge2 0.500 0.000 0.500
Ge3 0.500 0.500 0.000


Run B
CsNiGe3 after structural relaxation. Source: Alexandria via LeMat-Bulk, functional PBE.

Properties
The calculation puts the volume at 35.985 Å³ per atom. As for the spin magnetization: 0.0 μB/f.u. The density of states at the Fermi level comes out at 10.66 states/eV per cell. Its space group is Pm-3m, No. 221.

Cell lengths 5.645, 5.645, 5.645 Å; angles 90.00, 90.00, 90.00 degrees
Fractional positions:
Cs1 0.000 0.000 0.000
Ni1 0.500 0.500 0.500
Ge1 0.000 0.000 0.500
Ge2 0.000 0.500 0.000
Ge3 0.500 0.000 0.000


Which of them is the most stable, and which is the least stable? run A and run B, in that order.


Run A
CsNiGe2 after structural relaxation. Source: Alexandria via LeMat-Bulk, functional PBE.

Properties
The calculation puts the volume at 23.019 Å³ per atom. As for the spin magnetization: 0.0 μB/f.u. The density of states at the Fermi level comes out at 4.11 states/eV per cell. Its space group is Fm-3m, No. 225.

Cell lengths 5.069, 5.069, 5.069 Å; angles 60.00, 60.00, 60.00 degrees
Fractional positions:
Cs1 0.000 0.000 0.000
Ni1 0.500 0.500 0.500
Ge1 0.250 0.250 0.250
Ge2 0.750 0.750 0.750


Run B
CsNiGe2 after structural relaxation. Source: Alexandria via LeMat-Bulk, functional PBE.

Properties
The calculation puts the volume at 30.768 Å³ per atom. As for the spin magnetization: 0.0 μB/f.u. The density of states at the Fermi level comes out at 4.73 states/eV per cell. Its space group is I4_1/amd, No. 141.

Cell lengths 7.863, 7.863, 7.863 Å; angles 134.16, 134.16, 66.83 degrees
Fractional positions:
Cs1 0.375 0.625 0.750
Cs2 0.625 0.375 0.250
Ni1 0.125 0.875 0.250
Ni2 0.875 0.125 0.750
Ge1 0.000 0.000 0.000
Ge2 0.000 0.000 0.500
Ge3 0.000 0.500 0.000
Ge4 0.500 0.000 0.500


Which of them is the most stable, and which is the least stable? run B and run A, in that order.